#A
AsP2Br after structural relaxation. Source: Alexandria, functional PBE.

a b c (Å): 4.6947 4.6947 4.6947
angles (deg): 60.00 60.00 60.00
Positions (direct):
As: 0.0000 0.0000 0.0000
P: 0.2500 0.2500 0.2500
P: 0.7500 0.7500 0.7500
Br: 0.5000 0.5000 0.5000

Its space-group type is Fm-3m. As for the volume: 73 Å³/cell. The value obtained for the total magnetization is 0.0000 μB per atom.

#B
AsP2Br after structural relaxation. Source: Alexandria, functional PBE.

a b c (Å): 3.6392 4.6575 5.4914
angles (deg): 90.00 108.72 90.00
Positions (direct):
As: 0.0000 0.0000 0.0000
P: 0.3255 0.5000 0.1374
P: 0.6745 0.5000 0.8626
Br: 0.0000 0.0000 0.5000

Its space-group type is P2/m. As for the volume: 88 Å³/cell. The value obtained for the total magnetization is 0.0000 μB per atom.

Short version: #B, #A, most stable first.

#A
SrLiH3 after structural relaxation. Source: Alexandria, functional PBE.

a b c (Å): 5.3207 5.3207 4.4549
angles (deg): 90.00 90.00 120.00
Positions (direct):
Sr: 0.3333 0.6667 0.2500
Sr: 0.6667 0.3333 0.7500
Li: 0.0000 0.0000 0.0000
Li: 0.0000 0.0000 0.5000
H: 0.1697 0.3394 0.7500
H: 0.1697 0.8303 0.7500
H: 0.3394 0.1697 0.2500
H: 0.6606 0.8303 0.7500
H: 0.8303 0.1697 0.2500
H: 0.8303 0.6606 0.2500

Its space-group type is P6_3/mmc. As for the volume: 109 Å³/cell. The value obtained for the total magnetization is 0.0000 μB per atom.

#B
SrLiH3 after structural relaxation. Source: Alexandria, functional PBE.

a b c (Å): 6.7145 6.7145 4.7112
angles (deg): 90.00 90.00 136.83
Positions (direct):
Sr: 0.1548 0.8452 0.7500
Sr: 0.8452 0.1548 0.2500
Li: 0.4100 0.5900 0.7500
Li: 0.5900 0.4100 0.2500
H: 0.0541 0.4167 0.7500
H: 0.4167 0.0541 0.2500
H: 0.5000 0.5000 0.0000
H: 0.5000 0.5000 0.5000
H: 0.5833 0.9459 0.7500
H: 0.9459 0.5833 0.2500

Its space-group type is Cmcm. As for the volume: 145 Å³/cell. The value obtained for the total magnetization is 0.0000 μB per atom.

Short version: #A, #B, most stable first.